Ac2Ce | PBE-GGA | relaxed Values from VASP.

Calculated values
DFT formation energy = 0.69 eV per formula unit
Theoretical density = 8.18 g/cm3
Relative energy among the computed polymorphs = 0.0 meV per atom
SG = I4/mmm (139)

The structure in Quantum ESPRESSO input format:
```
&SYSTEM
  ibrav = 0, nat = 3, ntyp = 2
/
ATOMIC_SPECIES
Ac 227.00 Ac.upf
Ce 140.12 Ce.upf
CELL_PARAMETERS angstrom
-2.518 2.777 2.449
-2.635 -3.425 1.175
6.071 -0.724 2.967
ATOMIC_POSITIONS crystal
Ac 0.844 0.844 0.687
Ac 0.156 0.156 0.313
Ce 0.500 0.500 0.000
```

***

Ac2Ce | PBE-GGA | relaxed Values from VASP.

Calculated values
DFT formation energy = 1.40 eV per formula unit
Theoretical density = 7.60 g/cm3
Relative energy among the computed polymorphs = 236.3 meV per atom
SG = Fd-3m (227)

The structure in Quantum ESPRESSO input format:
```
&SYSTEM
  ibrav = 0, nat = 6, ntyp = 2
/
ATOMIC_SPECIES
Ac 227.00 Ac.upf
Ce 140.12 Ce.upf
CELL_PARAMETERS angstrom
7.160 0.000 0.000
3.580 6.201 0.000
3.580 2.067 5.846
ATOMIC_POSITIONS crystal
Ac 0.125 0.625 0.625
Ac 0.625 0.625 0.625
Ac 0.625 0.125 0.625
Ac 0.625 0.625 0.125
Ce 0.000 0.000 0.000
Ce 0.250 0.250 0.250
```

***

AcCeCl | PBE-GGA | relaxed Values from VASP.

Calculated values
Raw formation energy = -61 kJ/mol of atoms
Theoretical density = 7.05 g/cm3
SG = C2/m (12)

The structure in Quantum ESPRESSO input format:
```
&SYSTEM
  ibrav = 0, nat = 6, ntyp = 3
/
ATOMIC_SPECIES
Ce 140.12 Ce.upf
Cl 35.45 Cl.upf
Ac 227.00 Ac.upf
CELL_PARAMETERS angstrom
3.626 0.000 0.000
0.000 7.343 0.245
-1.813 -2.065 7.048
ATOMIC_POSITIONS crystal
Ce 0.146 0.570 0.292
Ce 0.854 0.430 0.708
Cl 0.501 0.275 0.002
Cl 0.499 0.725 0.998
Ac 0.848 0.915 0.696
Ac 0.152 0.085 0.304
```

***

AcCeCl6 | PBE-GGA | relaxed Values from VASP.

Calculated values
Raw formation energy = -220 kJ/mol of atoms
Theoretical density = 3.38 g/cm3
SG = R-3 (148)

The structure in Quantum ESPRESSO input format:
```
&SYSTEM
  ibrav = 0, nat = 8, ntyp = 3
/
ATOMIC_SPECIES
Cl 35.45 Cl.upf
Ac 227.00 Ac.upf
Ce 140.12 Ce.upf
CELL_PARAMETERS angstrom
7.044 0.009 0.009
3.514 6.105 0.013
3.510 2.028 6.629
ATOMIC_POSITIONS crystal
Cl 0.102 0.410 0.744
Cl 0.898 0.590 0.256
Cl 0.742 0.103 0.745
Cl 0.410 0.743 0.745
Cl 0.590 0.257 0.255
Cl 0.258 0.897 0.255
Ac 0.000 0.000 0.000
Ce 0.500 0.500 0.500
```

***

AcCeCoCl | PBE-GGA | relaxed Values from VASP.

Calculated values
Raw formation energy = -79 kJ/mol of atoms
Theoretical density = 6.94 g/cm3
SG = Cm (8)

The structure in Quantum ESPRESSO input format:
```
&SYSTEM
  ibrav = 0, nat = 4, ntyp = 4
/
ATOMIC_SPECIES
Ce 140.12 Ce.upf
Cl 35.45 Cl.upf
Co 58.93 Co.upf
Ac 227.00 Ac.upf
CELL_PARAMETERS angstrom
4.189 0.001 -0.002
-2.096 3.405 0.108
-2.089 -0.888 7.711
ATOMIC_POSITIONS crystal
Ce 0.118 0.989 0.059
Cl 0.963 0.393 0.345
Co 0.304 0.516 0.903
Ac 0.493 0.133 0.663
```

***

AcCeGeCl2 | PBE-GGA | relaxed Values from VASP.

Calculated values
Raw formation energy = -142 kJ/mol of atoms
Theoretical density = 5.75 g/cm3
SG = Cmcm (63)

The structure in Quantum ESPRESSO input format:
```
&SYSTEM
  ibrav = 0, nat = 10, ntyp = 4
/
ATOMIC_SPECIES
Cl 35.45 Cl.upf
Ge 72.64 Ge.upf
Ce 140.12 Ce.upf
Ac 227.00 Ac.upf
CELL_PARAMETERS angstrom
-0.482 -1.709 -3.705
3.041 -6.034 4.665
-8.380 -2.493 2.239
ATOMIC_POSITIONS crystal
Cl 0.176 0.352 0.575
Cl 0.176 0.352 0.925
Cl 0.824 0.648 0.075
Cl 0.824 0.648 0.425
Ge 0.554 0.108 0.250
Ge 0.446 0.892 0.750
Ce 0.000 0.000 0.000
Ce 0.000 0.000 0.500
Ac 0.791 0.582 0.750
Ac 0.209 0.418 0.250
```